# 1
The following is a DFT calculation (GGA-PBE) of a geometry-optimized K3PmCl6 structure.

a b c (Å): 8.9822 8.9822 8.9822
angles (deg): 91.52 91.52 91.52
Fractional coordinates of all 20 atoms:
K: 0.0685 0.7526 0.5727
K: 0.2474 0.4273 0.9315
K: 0.4273 0.9315 0.2474
K: 0.5727 0.0685 0.7526
K: 0.7526 0.5727 0.0685
K: 0.9315 0.2474 0.4273
Pm: 0.0000 0.0000 0.0000
Pm: 0.5000 0.5000 0.5000
Cl: 0.0465 0.7093 0.9219
Cl: 0.0781 0.9535 0.2907
Cl: 0.2114 0.4281 0.5667
Cl: 0.2907 0.0781 0.9535
Cl: 0.4281 0.5667 0.2114
Cl: 0.4333 0.7886 0.5719
Cl: 0.5667 0.2114 0.4281
Cl: 0.5719 0.4333 0.7886
Cl: 0.7093 0.9219 0.0465
Cl: 0.7886 0.5719 0.4333
Cl: 0.9219 0.0465 0.7093
Cl: 0.9535 0.2907 0.0781

Values from the calculation:
- Total moment: 0.00 Bohr magnetons per cell
- ΔE_f (raw): -205.4 kJ per mole of atoms
- ΔE to the lowest computed polymorph: 0.000 eV per atom
- Symmetry: R-3 (148)

# 2
The following is a DFT calculation (GGA-PBE) of a geometry-optimized KPmSCl structure.

a b c (Å): 8.0983 8.0983 8.0983
angles (deg): 28.88 28.88 28.88
Fractional coordinates of all 4 atoms:
K: 0.0000 0.0000 0.0000
Pm: 0.8174 0.8174 0.8174
S: 0.4179 0.4179 0.4179
Cl: 0.2311 0.2311 0.2311

Values from the calculation:
- Total moment: 0.00 Bohr magnetons per cell
- ΔE_f (raw): -162.9 kJ per mole of atoms
- Symmetry: R3m (160)

# 3
The following is a DFT calculation (GGA-PBE) of a geometry-optimized KPmScCl6 structure.

a b c (Å): 6.8469 6.8469 14.2235
angles (deg): 90.00 90.00 120.00
Fractional coordinates of all 18 atoms:
K: 0.0000 0.0000 0.0000
K: 0.0000 0.0000 0.5000
Pm: 0.3333 0.6667 0.2500
Pm: 0.6667 0.3333 0.7500
Sc: 0.3333 0.6667 0.7500
Sc: 0.6667 0.3333 0.2500
Cl: 0.0185 0.3708 0.6424
Cl: 0.0185 0.6477 0.8576
Cl: 0.3523 0.3708 0.8576
Cl: 0.3523 0.9815 0.6424
Cl: 0.3708 0.0185 0.1424
Cl: 0.3708 0.3523 0.3576
Cl: 0.6292 0.6477 0.6424
Cl: 0.6292 0.9815 0.8576
Cl: 0.6477 0.0185 0.3576
Cl: 0.6477 0.6292 0.1424
Cl: 0.9815 0.3523 0.1424
Cl: 0.9815 0.6292 0.3576

Values from the calculation:
- Total moment: 2.07 Bohr magnetons per cell
- ΔE_f (raw): -199.4 kJ per mole of atoms
- Symmetry: P-31c (163)

# 4
The following is a DFT calculation (GGA-PBE) of a geometry-optimized KPmSnCl6 structure.

a b c (Å): 6.8195 6.8195 13.1641
angles (deg): 90.00 90.00 90.00
Fractional coordinates of all 18 atoms:
K: 0.0000 0.0000 0.0000
K: 0.5000 0.5000 0.5000
Pm: 0.0000 0.0000 0.3343
Pm: 0.5000 0.5000 0.8343
Sn: 0.0000 0.0000 0.6680
Sn: 0.5000 0.5000 0.1680
Cl: 0.1794 0.1794 0.4965
Cl: 0.2019 0.2019 0.1879
Cl: 0.2164 0.2164 0.8223
Cl: 0.2836 0.7164 0.3223
Cl: 0.2981 0.7019 0.6879
Cl: 0.3206 0.6794 0.9965
Cl: 0.6794 0.3206 0.9965
Cl: 0.7019 0.2981 0.6879
Cl: 0.7164 0.2836 0.3223
Cl: 0.7836 0.7836 0.8223
Cl: 0.7981 0.7981 0.1879
Cl: 0.8206 0.8206 0.4965

Values from the calculation:
- Total moment: 0.00 Bohr magnetons per cell
- ΔE_f (raw): -172.3 kJ per mole of atoms
- Symmetry: P4_2nm (102)

# 5
The following is a DFT calculation (GGA-PBE) of a geometry-optimized KPmTeCl2 structure.

a b c (Å): 8.9005 8.9005 8.8366
angles (deg): 90.00 90.00 150.45
Fractional coordinates of all 10 atoms:
K: 0.2166 0.7834 0.7500
K: 0.7834 0.2166 0.2500
Pm: 0.5000 0.5000 0.0000
Pm: 0.5000 0.5000 0.5000
Te: 0.0106 0.9894 0.2500
Te: 0.9894 0.0106 0.7500
Cl: 0.3433 0.6567 0.0212
Cl: 0.3433 0.6567 0.4788
Cl: 0.6567 0.3433 0.5212
Cl: 0.6567 0.3433 0.9788

Values from the calculation:
- Total moment: 0.00 Bohr magnetons per cell
- ΔE_f (raw): -179.9 kJ per mole of atoms
- Symmetry: Cmcm (63)

# 6
The following is a DFT calculation (GGA-PBE) of a geometry-optimized KPmVCl6 structure.

a b c (Å): 6.7553 6.7553 14.0655
angles (deg): 90.00 90.00 120.00
Fractional coordinates of all 18 atoms:
K: 0.0000 0.0000 0.0000
K: 0.0000 0.0000 0.5000
Pm: 0.3333 0.6667 0.2500
Pm: 0.6667 0.3333 0.7500
V: 0.3333 0.6667 0.7500
V: 0.6667 0.3333 0.2500
Cl: 0.0263 0.3772 0.6445
Cl: 0.0263 0.6491 0.8555
Cl: 0.3509 0.3772 0.8555
Cl: 0.3509 0.9737 0.6445
Cl: 0.3772 0.0263 0.1445
Cl: 0.3772 0.3509 0.3555
Cl: 0.6228 0.6491 0.6445
Cl: 0.6228 0.9737 0.8555
Cl: 0.6491 0.0263 0.3555
Cl: 0.6491 0.6228 0.1445
Cl: 0.9737 0.3509 0.1445
Cl: 0.9737 0.6228 0.3555

Values from the calculation:
- Total moment: 6.00 Bohr magnetons per cell
- ΔE_f (raw): -177.8 kJ per mole of atoms
- Symmetry: P-31c (163)

# 7
The following is a DFT calculation (GGA-PBE) of a geometry-optimized KPr2Cl6 structure.

a b c (Å): 7.6497 6.5867 14.4590
angles (deg): 90.00 121.92 90.00
Fractional coordinates of all 18 atoms:
K: 0.0000 0.0000 0.0000
K: 0.0000 0.5000 0.5000
Pr: 0.3227 0.0010 0.8226
Pr: 0.3227 0.4990 0.3226
Pr: 0.6773 0.5010 0.6774
Pr: 0.6773 0.9990 0.1774
Cl: 0.0150 0.7491 0.3163
Cl: 0.0150 0.7509 0.8163
Cl: 0.3571 0.2202 0.0003
Cl: 0.3571 0.2798 0.5003
Cl: 0.3820 0.7486 0.1832
Cl: 0.3820 0.7514 0.6832
Cl: 0.6180 0.2486 0.3168
Cl: 0.6180 0.2514 0.8168
Cl: 0.6429 0.7202 0.4997
Cl: 0.6429 0.7798 0.9997
Cl: 0.9850 0.2491 0.1837
Cl: 0.9850 0.2509 0.6837

Values from the calculation:
- Total moment: 2.10 Bohr magnetons per cell
- ΔE_f (raw): -197.6 kJ per mole of atoms
- Symmetry: P2_1/c (14)

# 8
The following is a DFT calculation (GGA-PBE) of a geometry-optimized K2Pr2Cl7 structure.

a b c (Å): 6.9566 6.9566 7.3867
angles (deg): 90.00 90.00 96.16
Fractional coordinates of all 11 atoms:
K: 0.2448 0.2448 0.0000
K: 0.7552 0.7552 0.0000
Pr: 0.2792 0.7208 0.5000
Pr: 0.7208 0.2792 0.5000
Cl: 0.0000 0.0000 0.5000
Cl: 0.0000 0.5000 0.2635
Cl: 0.0000 0.5000 0.7365
Cl: 0.5000 0.0000 0.2635
Cl: 0.5000 0.0000 0.7365
Cl: 0.5000 0.5000 0.2693
Cl: 0.5000 0.5000 0.7307

Values from the calculation:
- Total moment: 1.01 Bohr magnetons per cell
- ΔE_f (raw): -197.3 kJ per mole of atoms
- Symmetry: Cmmm (65)

# 9
The following is a DFT calculation (GGA-PBE) of a geometry-optimized KPrCl4 structure.

a b c (Å): 8.2665 8.2665 7.1701
angles (deg): 109.01 109.01 109.12
Fractional coordinates of all 12 atoms:
K: 0.1391 0.8609 0.7500
K: 0.8609 0.1391 0.2500
Pr: 0.4899 0.5101 0.2500
Pr: 0.5101 0.4899 0.7500
Cl: 0.1703 0.2876 0.7874
Cl: 0.2386 0.5562 0.4390
Cl: 0.2876 0.1703 0.2874
Cl: 0.4438 0.7614 0.0610
Cl: 0.5562 0.2386 0.9390
Cl: 0.7124 0.8297 0.7126
Cl: 0.7614 0.4438 0.5610
Cl: 0.8297 0.7124 0.2126

Values from the calculation:
- Total moment: 0.00 Bohr magnetons per cell
- ΔE_f (raw): -205.3 kJ per mole of atoms
- ΔE to the lowest computed polymorph: 0.069 eV per atom
- Symmetry: C2/c (15)

# 10
The following is a DFT calculation (GGA-PBE) of a geometry-optimized KPrCl4 structure.

a b c (Å): 7.6193 4.3889 19.3416
angles (deg): 90.00 90.00 90.00
Fractional coordinates of all 24 atoms:
K: 0.2132 0.2500 0.2063
K: 0.2868 0.7500 0.7063
K: 0.7132 0.2500 0.2937
K: 0.7868 0.7500 0.7937
Pr: 0.2487 0.7500 0.4389
Pr: 0.2513 0.2500 0.9389
Pr: 0.7487 0.7500 0.0611
Pr: 0.7513 0.2500 0.5611
Cl: 0.0107 0.2500 0.0630
Cl: 0.0909 0.2500 0.3630
Cl: 0.0925 0.2500 0.8034
Cl: 0.1419 0.2500 0.5363
Cl: 0.3581 0.7500 0.0363
Cl: 0.4075 0.7500 0.3034
Cl: 0.4091 0.7500 0.8630
Cl: 0.4893 0.7500 0.5630
Cl: 0.5107 0.2500 0.4370
Cl: 0.5909 0.2500 0.1370
Cl: 0.5925 0.2500 0.6966
Cl: 0.6419 0.2500 0.9637
Cl: 0.8581 0.7500 0.4637
Cl: 0.9075 0.7500 0.1966
Cl: 0.9091 0.7500 0.6370
Cl: 0.9893 0.7500 0.9370

Values from the calculation:
- Total moment: 0.00 Bohr magnetons per cell
- ΔE_f (raw): -211.9 kJ per mole of atoms
- ΔE to the lowest computed polymorph: 0.000 eV per atom
- Symmetry: Pnma (62)

# 11
The following is a DFT calculation (GGA-PBE) of a geometry-optimized K2RbPrCl6 structure.

a b c (Å): 8.2810 8.2810 8.2810
angles (deg): 60.00 60.00 60.00
Fractional coordinates of all 10 atoms:
K: 0.2500 0.2500 0.2500
K: 0.7500 0.7500 0.7500
Rb: 0.0000 0.0000 0.0000
Pr: 0.5000 0.5000 0.5000
Cl: 0.2654 0.2654 0.7346
Cl: 0.2654 0.7346 0.2654
Cl: 0.2654 0.7346 0.7346
Cl: 0.7346 0.2654 0.2654
Cl: 0.7346 0.2654 0.7346
Cl: 0.7346 0.7346 0.2654

Values from the calculation:
- Total moment: 0.00 Bohr magnetons per cell
- ΔE_f (raw): -193.3 kJ per mole of atoms
- ΔE to the lowest computed polymorph: 0.110 eV per atom
- Symmetry: Fm-3m (225)

# 12
The following is a DFT calculation (GGA-PBE) of a geometry-optimized K2RbPrCl6 structure.

a b c (Å): 8.2590 8.2590 8.2590
angles (deg): 56.92 56.92 56.92
Fractional coordinates of all 10 atoms:
K: 0.0000 0.0000 0.0000
K: 0.4903 0.4903 0.4903
Rb: 0.2835 0.2835 0.2835
Pr: 0.7935 0.7935 0.7935
Cl: 0.0467 0.4407 0.6905
Cl: 0.1531 0.8786 0.6101
Cl: 0.4407 0.6905 0.0467
Cl: 0.6101 0.1531 0.8786
Cl: 0.6905 0.0467 0.4407
Cl: 0.8786 0.6101 0.1531

Values from the calculation:
- Total moment: 0.00 Bohr magnetons per cell
- ΔE_f (raw): -203.9 kJ per mole of atoms
- ΔE to the lowest computed polymorph: 0.000 eV per atom
- Symmetry: R3 (146)

# 13
The following is a DFT calculation (GGA-PBE) of a geometry-optimized KPrSeCl structure.

a b c (Å): 8.3381 8.3381 8.3381
angles (deg): 29.03 29.03 29.03
Fractional coordinates of all 4 atoms:
K: 0.0000 0.0000 0.0000
Pr: 0.1765 0.1765 0.1765
Se: 0.5810 0.5810 0.5810
Cl: 0.7645 0.7645 0.7645

Values from the calculation:
- Total moment: 0.00 Bohr magnetons per cell
- ΔE_f (raw): -157.4 kJ per mole of atoms
- Symmetry: R3m (160)

# 14
The following is a DFT calculation (GGA-PBE) of a geometry-optimized KPrSn2Cl8 structure.

a b c (Å): 6.5429 6.9200 9.0393
angles (deg): 87.97 88.55 88.50
Fractional coordinates of all 12 atoms:
K: 0.0000 0.0000 0.0000
Pr: 0.0000 0.0000 0.5000
Sn: 0.4963 0.4889 0.2455
Sn: 0.5037 0.5111 0.7545
Cl: 0.2151 0.8136 0.2762
Cl: 0.2519 0.3206 0.4640
Cl: 0.2533 0.8577 0.7233
Cl: 0.2844 0.3557 0.0371
Cl: 0.7156 0.6443 0.9629
Cl: 0.7467 0.1423 0.2767
Cl: 0.7481 0.6794 0.5360
Cl: 0.7849 0.1864 0.7238

Values from the calculation:
- Total moment: 0.00 Bohr magnetons per cell
- ΔE_f (raw): -152.8 kJ per mole of atoms
- Symmetry: P-1 (2)

# 15
The following is a DFT calculation (GGA-PBE) of a geometry-optimized K2PrTlCl6 structure.

a b c (Å): 8.1852 8.1852 8.1852
angles (deg): 57.11 57.11 57.11
Fractional coordinates of all 10 atoms:
K: 0.0000 0.0000 0.0000
K: 0.4905 0.4905 0.4905
Pr: 0.6979 0.6979 0.6979
Tl: 0.2086 0.2086 0.2086
Cl: 0.0489 0.4446 0.8070
Cl: 0.3399 0.8904 0.6020
Cl: 0.4446 0.8070 0.0489
Cl: 0.6020 0.3399 0.8904
Cl: 0.8070 0.0489 0.4446
Cl: 0.8904 0.6020 0.3399

Values from the calculation:
- Total moment: 0.00 Bohr magnetons per cell
- ΔE_f (raw): -185.5 kJ per mole of atoms
- Symmetry: R3 (146)

# 16
The following is a DFT calculation (GGA-PBE) of a geometry-optimized KPrTl2Cl6 structure.

a b c (Å): 8.1097 8.1097 8.1097
angles (deg): 58.23 58.23 58.23
Fractional coordinates of all 10 atoms:
K: 0.0000 0.0000 0.0000
Pr: 0.4930 0.4930 0.4930
Tl: 0.2830 0.2830 0.2830
Tl: 0.7882 0.7882 0.7882
Cl: 0.1447 0.6885 0.3792
Cl: 0.2369 0.6229 0.8300
Cl: 0.3792 0.1447 0.6885
Cl: 0.6229 0.8300 0.2369
Cl: 0.6885 0.3792 0.1447
Cl: 0.8300 0.2369 0.6229

Values from the calculation:
- Total moment: 0.00 Bohr magnetons per cell
- ΔE_f (raw): -167.3 kJ per mole of atoms
- Symmetry: R3 (146)

# 17
The following is a DFT calculation (GGA-PBE) of a geometry-optimized KPrZnCl6 structure.

a b c (Å): 6.8945 6.8945 13.7748
angles (deg): 90.00 90.00 120.00
Fractional coordinates of all 18 atoms:
K: 0.0000 0.0000 0.0000
K: 0.0000 0.0000 0.5000
Pr: 0.3333 0.6667 0.2500
Pr: 0.6667 0.3333 0.7500
Zn: 0.3333 0.6667 0.7500
Zn: 0.6667 0.3333 0.2500
Cl: 0.0295 0.3845 0.6422
Cl: 0.0295 0.6450 0.8578
Cl: 0.3550 0.3845 0.8578
Cl: 0.3550 0.9705 0.6422
Cl: 0.3845 0.0295 0.1422
Cl: 0.3845 0.3550 0.3578
Cl: 0.6155 0.6450 0.6422
Cl: 0.6155 0.9705 0.8578
Cl: 0.6450 0.0295 0.3578
Cl: 0.6450 0.6155 0.1422
Cl: 0.9705 0.3550 0.1422
Cl: 0.9705 0.6155 0.3578

Values from the calculation:
- Total moment: 0.00 Bohr magnetons per cell
- ΔE_f (raw): -174.1 kJ per mole of atoms
- Symmetry: P-31c (163)

# 18
The following is a DFT calculation (GGA-PBE) of a geometry-optimized K2PtCl7 structure.

a b c (Å): 8.0583 8.0583 11.1292
angles (deg): 107.92 107.92 66.83
Fractional coordinates of all 20 atoms:
K: 0.1814 0.2111 0.0490
K: 0.2111 0.1814 0.5490
K: 0.7889 0.8186 0.4510
K: 0.8186 0.7889 0.9510
Pt: 0.3160 0.6840 0.7500
Pt: 0.6840 0.3160 0.2500
Cl: 0.0609 0.9391 0.7500
Cl: 0.1525 0.6383 0.1953
Cl: 0.1681 0.5193 0.7950
Cl: 0.2276 0.5712 0.5296
Cl: 0.3617 0.8475 0.3047
Cl: 0.4288 0.7724 0.9704
Cl: 0.4807 0.8319 0.7050
Cl: 0.5193 0.1681 0.2950
Cl: 0.5712 0.2276 0.0296
Cl: 0.6383 0.1525 0.6953
Cl: 0.7724 0.4288 0.4704
Cl: 0.8319 0.4807 0.2050
Cl: 0.8475 0.3617 0.8047
Cl: 0.9391 0.0609 0.2500

Values from the calculation:
- Total moment: 1.95 Bohr magnetons per cell
- ΔE_f (raw): -82.7 kJ per mole of atoms
- Symmetry: C2/c (15)

# 19
The following is a DFT calculation (GGA-PBE) of a geometry-optimized K2PtCl structure.

a b c (Å): 5.8800 5.8800 3.1270
angles (deg): 90.10 90.10 90.00
Fractional coordinates of all 4 atoms:
K: 0.0000 0.5000 0.0000
K: 0.5000 0.0000 0.0000
Pt: 0.0000 0.0000 0.5000
Cl: 0.5000 0.5000 0.5000

Values from the calculation:
- Total moment: 0.51 Bohr magnetons per cell
- ΔE_f (raw): -54.4 kJ per mole of atoms
- ΔE to the lowest computed polymorph: 0.110 eV per atom
- Symmetry: C2/m (12)

# 20
The following is a DFT calculation (GGA-PBE) of a geometry-optimized KPtCl structure.

a b c (Å): 5.6935 5.6935 5.6935
angles (deg): 145.70 126.60 65.02
Fractional coordinates of all 3 atoms:
K: 0.0000 0.0000 0.0000
Pt: 0.6229 0.6229 0.0000
Cl: 0.3857 0.3857 0.0000

Values from the calculation:
- Total moment: 0.00 Bohr magnetons per cell
- ΔE_f (raw): -9.1 kJ per mole of atoms
- ΔE to the lowest computed polymorph: 0.716 eV per atom
- Symmetry: Imm2 (44)